Record 1
Th6Os3Se2Cl: relaxed, PBE.

Cell lengths 9.7488, 9.7488, 8.8124 Å; angles 107.81, 107.81, 24.54 degrees
Closest atoms and distances in Å follow each position.
Sites, in units of the cell vectors:
1 Th 0.0087 0.0087 0.2203  3 Os 2.81-2.85
2 Th 0.3216 0.3216 0.4374  3 Os 2.82-2.85
3 Th 0.3413 0.3413 0.8942  3 Os 2.86-2.87
4 Th 0.6587 0.6587 0.1058  3 Os 2.86-2.87
5 Th 0.6784 0.6784 0.5626  3 Os 2.82-2.85
6 Th 0.9913 0.9913 0.7797  3 Os 2.81-2.85
7 Os 0.1660 0.1660 0.3338  6 Th 2.82-2.86
8 Os 0.5000 0.5000 0.0000  6 Th 2.81-2.87
9 Os 0.8340 0.8340 0.6662  6 Th 2.82-2.86
10 Se 0.1646 0.1646 0.8302  6 Th 3.19-3.23
11 Se 0.8354 0.8354 0.1698  6 Th 3.19-3.23
12 Cl 0.5000 0.5000 0.5000  6 Th 3.26-3.27

E_form (uncorrected)	-978	meV per atom
calculated volume	330.3	Å³ per cell

Record 2
ZnOsSeCl2: relaxed, PBE.

Cell lengths 5.1071, 5.1071, 5.0085 Å; angles 90.00, 90.00, 90.00 degrees
Closest atoms and distances in Å follow each position.
Sites, in units of the cell vectors:
1 Zn 0.0000 0.0000 0.0000  2 Se 2.50
2 Os 0.5000 0.5000 0.0000  8 Cl 3.58, 4 Zn 3.61
3 Se 0.0000 0.0000 0.5000  2 Zn 2.50, 4 Cl 2.55
4 Cl 0.0000 0.5000 0.5000  2 Se 2.55
5 Cl 0.5000 0.0000 0.5000  2 Se 2.55

E_form (uncorrected)	1335	meV per atom
calculated volume	130.6	Å³ per cell

Record 3
Zn2OsSeCl: relaxed, PBE.

Cell lengths 4.8539, 4.8539, 4.3329 Å; angles 90.00, 90.00, 90.00 degrees
Closest atoms and distances in Å follow each position.
Sites, in units of the cell vectors:
1 Zn 0.0000 0.5000 0.0000  2 Cl 2.43
2 Zn 0.5000 0.0000 0.0000  2 Cl 2.43
3 Os 0.0000 0.0000 0.5000  2 Cl 2.17
4 Se 0.5000 0.5000 0.5000  8 Zn 3.25, 4 Os 3.43
5 Cl 0.0000 0.0000 0.0000  2 Os 2.17

E_form (uncorrected)	1228	meV per atom
calculated volume	102.1	Å³ per cell

Record 4
ZnOsSe2Cl: relaxed, PBE.

Cell lengths 4.7992, 4.7992, 5.1475 Å; angles 90.00, 90.00, 90.00 degrees
Closest atoms and distances in Å follow each position.
Sites, in units of the cell vectors:
1 Zn 0.0000 0.0000 0.0000  4 Se 2.40, 2 Os 2.57
2 Os 0.0000 0.0000 0.5000  2 Zn 2.57
3 Se 0.0000 0.5000 0.0000  2 Zn 2.40
4 Se 0.5000 0.0000 0.0000  2 Zn 2.40
5 Cl 0.5000 0.5000 0.5000  4 Os 3.39, 8 Se 3.52

E_form (uncorrected)	1330	meV per atom
calculated volume	118.6	Å³ per cell

Record 5
SiOs4Cl: relaxed, PBE.

Cell lengths 5.2276, 5.2276, 5.2276 Å; angles 60.00, 60.00, 60.00 degrees
Closest atoms and distances in Å follow each position.
Sites, in units of the cell vectors:
1 Si 0.0000 0.0000 0.0000  12 Os 3.06, 4 Cl 3.20
2 Os 0.1230 0.6257 0.6257  6 Os 2.60-2.63
3 Os 0.6257 0.1230 0.6257  6 Os 2.60-2.63
4 Os 0.6257 0.6257 0.1230  6 Os 2.60-2.63
5 Os 0.6257 0.6257 0.6257  6 Os 2.60-2.63
6 Cl 0.2500 0.2500 0.2500  12 Os 3.07, 4 Si 3.20

E_form (uncorrected)	1466	meV per atom
calculated volume	101.0	Å³ per cell

Record 6
SiOsCl3: relaxed, PBE.

Cell lengths 4.7739, 4.7739, 4.7739 Å; angles 90.00, 90.00, 90.00 degrees
Closest atoms and distances in Å follow each position.
Sites, in units of the cell vectors:
1 Si 0.0000 0.0000 0.0000  12 Cl 3.38
2 Os 0.5000 0.5000 0.5000  6 Cl 2.39
3 Cl 0.0000 0.5000 0.5000  2 Os 2.39
4 Cl 0.5000 0.0000 0.5000  2 Os 2.39
5 Cl 0.5000 0.5000 0.0000  2 Os 2.39

E_form (uncorrected)	714	meV per atom
calculated volume	108.8	Å³ per cell
offset from the most stable computed form	0	meV per atom